Here is Ba2Sn7Rh12 after structural relaxation from Alexandria. Energies are from GGA-PBE. Values from VASP.

Cell and atoms, written as Quantum ESPRESSO input:
```
&SYSTEM
  ibrav = 0, nat = 21, ntyp = 3
/
ATOMIC_SPECIES
Ba 137.33 Ba.upf
Sn 118.71 Sn.upf
Rh 102.91 Rh.upf
CELL_PARAMETERS angstrom
10.447 0.000 0.000
-5.224 9.048 0.000
0.000 0.000 4.325
ATOMIC_POSITIONS crystal
Ba 0.000 0.000 0.000
Ba 0.333 0.667 0.500
Sn 0.039 0.454 0.000
Sn 0.277 0.250 0.500
Sn 0.415 0.961 0.000
Sn 0.546 0.585 0.000
Sn 0.667 0.333 0.000
Sn 0.750 0.026 0.500
Sn 0.974 0.723 0.500
Rh 0.032 0.280 0.500
Rh 0.132 0.747 0.000
Rh 0.249 0.968 0.500
Rh 0.253 0.385 0.000
Rh 0.384 0.193 0.000
Rh 0.567 0.139 0.500
Rh 0.573 0.433 0.500
Rh 0.615 0.868 0.000
Rh 0.720 0.751 0.500
Rh 0.807 0.191 0.000
Rh 0.809 0.616 0.000
Rh 0.861 0.427 0.500
```

Computed properties:
Calculated density: 9.5 g/cm3
Total DFT energy (no corrections): -128.9 eV for the cell shown
Energy relative to the elements: -0.42 eV per atom


Here is Sr2TlGa4Au3 after structural relaxation from Alexandria. Energies are from GGA-PBE. Values from VASP.

Cell and atoms, written as Quantum ESPRESSO input:
```
&SYSTEM
  ibrav = 0, nat = 10, ntyp = 4
/
ATOMIC_SPECIES
Sr 87.62 Sr.upf
Tl 204.38 Tl.upf
Ga 69.72 Ga.upf
Au 196.97 Au.upf
CELL_PARAMETERS angstrom
4.532 0.000 0.000
0.000 4.532 0.000
0.000 0.000 11.218
ATOMIC_POSITIONS crystal
Sr 0.000 0.500 0.241
Sr 0.500 0.000 0.759
Tl 0.000 0.000 0.500
Ga 0.000 0.000 0.000
Ga 0.000 0.500 0.647
Ga 0.500 0.000 0.353
Ga 0.500 0.500 0.000
Au 0.000 0.500 0.876
Au 0.500 0.000 0.124
Au 0.500 0.500 0.500
```

Computed properties:
Calculated density: 9.0 g/cm3
Total DFT energy (no corrections): -32.6 eV for the cell shown
Energy relative to the elements: -0.50 eV per atom


Here is PmSmRhI after structural relaxation from Alexandria. Energies are from GGA-PBE. Values from VASP.

Cell and atoms, written as Quantum ESPRESSO input:
```
&SYSTEM
  ibrav = 0, nat = 12, ntyp = 4
/
ATOMIC_SPECIES
Pm 145.00 Pm.upf
Sm 150.36 Sm.upf
Rh 102.91 Rh.upf
I 126.90 I.upf
CELL_PARAMETERS angstrom
4.144 0.000 0.000
-2.072 3.588 0.000
0.000 0.000 24.334
ATOMIC_POSITIONS crystal
Pm 0.000 0.000 0.000
Pm 0.333 0.667 0.667
Pm 0.667 0.333 0.333
Sm 0.000 0.000 0.789
Sm 0.333 0.667 0.456
Sm 0.667 0.333 0.123
Rh 0.000 0.000 0.395
Rh 0.333 0.667 0.062
Rh 0.667 0.333 0.728
I 0.000 0.000 0.563
I 0.333 0.667 0.229
I 0.667 0.333 0.896
```

Computed properties:
Calculated density: 7.2 g/cm3
ΔE_f (raw): -361.7 kJ/mol of formula units
Total DFT energy (no corrections): -66.4 eV for the cell shown


Here is Li2TaSi after structural relaxation from Alexandria. Energies are from GGA-PBE. Values from VASP.

Cell and atoms, written as Quantum ESPRESSO input:
```
&SYSTEM
  ibrav = 0, nat = 4, ntyp = 3
/
ATOMIC_SPECIES
Li 6.94 Li.upf
Ta 180.95 Ta.upf
Si 28.09 Si.upf
CELL_PARAMETERS angstrom
2.713 0.000 0.000
0.000 3.463 0.000
0.000 0.000 6.642
ATOMIC_POSITIONS crystal
Li 0.000 0.000 0.000
Li 0.500 0.500 0.237
Ta 0.500 0.500 0.691
Si 0.000 0.000 0.454
```

Computed properties:
Calculated density: 5.9 g/cm3
ΔE_f (raw): 7.6 kJ/mol of formula units
Total DFT energy (no corrections): -21.0 eV for the cell shown


Here is KRb3Cd2 after structural relaxation from Alexandria. Energies are from GGA-PBE. Values from VASP.

Cell and atoms, written as Quantum ESPRESSO input:
```
&SYSTEM
  ibrav = 0, nat = 12, ntyp = 3
/
ATOMIC_SPECIES
K 39.10 K.upf
Rb 85.47 Rb.upf
Cd 112.41 Cd.upf
CELL_PARAMETERS angstrom
10.914 -2.535 0.000
10.914 2.535 0.000
-7.661 0.000 12.783
ATOMIC_POSITIONS crystal
K 0.166 0.166 0.246
K 0.834 0.834 0.754
Rb 0.159 0.159 0.738
Rb 0.420 0.420 0.061
Rb 0.420 0.420 0.571
Rb 0.580 0.580 0.429
Rb 0.580 0.580 0.939
Rb 0.841 0.841 0.262
Cd 0.234 0.234 0.038
Cd 0.235 0.235 0.539
Cd 0.765 0.765 0.461
Cd 0.766 0.766 0.962
```

Computed properties:
Calculated density: 2.4 g/cm3
Total DFT energy (no corrections): -12.2 eV for the cell shown
Energy relative to the elements: -0.04 eV per atom


Here is AlFe2Co after structural relaxation from Alexandria. Energies are from GGA-PBE. Values from VASP.

Cell and atoms, written as Quantum ESPRESSO input:
```
&SYSTEM
  ibrav = 0, nat = 4, ntyp = 3
/
ATOMIC_SPECIES
Al 26.98 Al.upf
Fe 55.84 Fe.upf
Co 58.93 Co.upf
CELL_PARAMETERS angstrom
2.548 0.000 0.000
0.000 3.945 0.000
-0.966 0.000 4.724
ATOMIC_POSITIONS crystal
Al 0.000 0.000 0.000
Fe 0.307 0.500 0.750
Fe 0.510 0.000 0.498
Co 0.738 0.500 0.253
```

Computed properties:
Calculated density: 6.9 g/cm3
Total DFT energy (no corrections): -28.4 eV for the cell shown
Energy relative to the elements: -0.16 eV per atom